GaAg4Hg: optimized geometry, PBE-GGA.

Output
Raw total energy (eV/atom): -2.315
M_tot (μB/f.u.): 0.00
DOS at the Fermi energy (states/eV/f.u.): 1.18

a b c (Å): 5.7049 7.9213 5.7059
angles (deg): 90.00 90.00 90.00
Space group Pmma (No. 51)
Inequivalent atoms, fractional coordinates:
Ga 0.2500 0.0000 0.2472
Ag 0.0000 0.2243 0.5000
Ag 0.0000 0.2271 0.0000
Hg 0.2500 0.5000 0.7474